Entry from the Open Quantum Materials Database: crystalline NbAuSO at its relaxed geometry (GGA-PBE).

Values from the calculation:
For the total energy, the calculation gives -6.535 eV/atom. Its energy above the most stable polymorph in this dataset is 0.4 kJ/mol of atoms.

Unit cell a=5.306 b=5.291 c=10.051 alpha=90.00 beta=92.42 gamma=90.00
Space group P2_1 (No. 4)
Asymmetric unit:
1 Nb 0.040 0.000 0.411
2 Nb 0.438 0.398 0.407
3 Au 0.255 0.669 0.999
4 Au 0.425 0.994 0.219
5 S 0.163 0.640 0.227
6 S 0.223 0.758 0.769
7 O 0.253 0.697 0.499
8 O 0.260 0.201 0.562

---

Entry from the Open Quantum Materials Database: crystalline NbOs2Au at its relaxed geometry (GGA-PBE).

Values from the calculation:
For the total energy, the calculation gives -8.453 eV/atom. As for the formation energy: 0.500 eV per atom.

Unit cell a=6.361 b=6.361 c=6.361 alpha=90.00 beta=90.00 gamma=90.00
Space group F-43m (No. 216)
Asymmetric unit:
1 Nb 0.000 0.000 0.000
2 Os 0.000 0.000 0.500
3 Os 0.250 0.250 0.750
4 Au 0.250 0.250 0.250

---

Entry from the Open Quantum Materials Database: crystalline NbOsAu at its relaxed geometry (GGA-PBE).

Values from the calculation:
For the total energy, the calculation gives -7.719 eV/atom. As for the formation energy: 0.477 eV per atom. Its energy above the most stable polymorph in this dataset is 0.0 kJ/mol of atoms.

Unit cell a=6.183 b=6.183 c=6.183 alpha=90.00 beta=90.00 gamma=90.00
Space group F-43m (No. 216)
Asymmetric unit:
1 Nb 0.000 0.000 0.000
2 Os 0.250 0.250 0.750
3 Au 0.000 0.000 0.500

---

Entry from the Open Quantum Materials Database: crystalline Nb2OsAu at its relaxed geometry (GGA-PBE).

Values from the calculation:
For the total energy, the calculation gives -8.509 eV/atom. As for the formation energy: 0.161 eV per atom.

Unit cell a=6.461 b=6.461 c=6.461 alpha=90.00 beta=90.00 gamma=90.00
Space group F-43m (No. 216)
Asymmetric unit:
1 Nb 0.000 0.000 0.000
2 Nb 0.250 0.250 0.250
3 Os 0.250 0.250 0.750
4 Au 0.000 0.000 0.500